[1]
First-principles (PBE) data for Sr2LiMgAu after structural relaxation, as listed in the Alexandria database.

## Properties
Formation energy from the elements in eV per formula unit: -1.19
Crystal system: tetragonal

Cell lengths 6.0893, 6.0893, 5.1936 Å; angles 90.00, 90.00, 90.00 degrees
Space group P4/mmm (No. 123)
One atom of each set of equivalent atoms:
Sr  0.0000  0.5000  0.0000 [2 per cell]
Li  0.0000  0.0000  0.5000 [1 per cell]
Mg  0.5000  0.5000  0.5000 [1 per cell]
Au  0.5000  0.5000  0.0000 [1 per cell]

***

[2]
First-principles (PBE) data for KZr2BiB after structural relaxation, as listed in the Alexandria database.

## Properties
Formation energy from the elements in eV per formula unit: 10.63
Crystal system: tetragonal

Cell lengths 5.2290, 5.2290, 4.3564 Å; angles 90.00, 90.00, 90.00 degrees
Space group P4/mmm (No. 123)
One atom of each set of equivalent atoms:
K  0.0000  0.0000  0.0000 [1 per cell]
Zr  0.0000  0.5000  0.0000 [2 per cell]
Bi  0.5000  0.5000  0.5000 [1 per cell]
B  0.0000  0.0000  0.5000 [1 per cell]

***

[3]
First-principles (PBE) data for Nd2Mg5Ag3 after structural relaxation, as listed in the Alexandria database.

## Properties
Formation energy from the elements in eV per formula unit: -1.49
Crystal system: orthorhombic

Cell lengths 12.5073, 12.5672, 6.1506 Å; angles 90.00, 90.00, 90.00 degrees
Space group Ibam (No. 72)
One atom of each set of equivalent atoms:
Nd  0.2313  0.1461  0.0000 [8 per cell]
Mg  0.0000  0.0000  0.2500 [4 per cell]
Mg  0.0000  0.2661  0.2500 [8 per cell]
Mg  0.1546  0.4092  0.0000 [8 per cell]
Ag  0.0000  0.5000  0.2500 [4 per cell]
Ag  0.1335  0.1313  0.5000 [8 per cell]